(1)
MoSBrCl2 PBE-GGA optimized geometry; energy above the most stable polymorph in this dataset = 0.000 eV/atom; DOS at the Fermi energy = 3.54 states/eV per cell; symmetry = No. 123; calculated volume = 21.8 Å³ per atom; raw formation energy = -127 meV/atom; VASP energy = -20.96 eV/f.u.
1.0
4.812 0.000 0.000
0.000 4.812 0.000
0.000 0.000 4.699
Cl Mo S Br
2 1 1 1
Direct
0.000 0.500 0.000
0.500 0.000 0.000
0.000 0.000 0.000
0.000 0.000 0.500
0.500 0.500 0.500

***

(2)
Rb3CaHg PBE-GGA optimized geometry; energy above the most stable polymorph in this dataset = 0.000 eV/atom; DOS at the Fermi energy = 3.70 states/eV per cell; symmetry = No. 221; energy relative to the elements = 118 meV/atom; calculated volume = 67.7 Å³ per atom; VASP energy = -4.62 eV/f.u.
1.0
-3.000 -5.361 -3.289
3.189 -4.437 4.324
-5.421 0.357 4.363
Rb Ca Hg
3 1 1
Direct
0.500 0.000 0.000
0.000 0.500 0.000
0.000 0.000 0.500
0.500 0.500 0.500
0.000 0.000 0.000

***

(3)
La8AuS3I4 PBE-GGA optimized geometry; DOS at the Fermi energy = 13.78 states/eV per cell; symmetry = No. 166; calculated volume = 31.0 Å³ per atom; raw formation energy = -1431 meV/atom; VASP energy = -84.18 eV/f.u.
1.0
-4.674 6.584 -2.751
-4.442 -5.619 -5.900
-0.081 -2.132 8.259
S La I Au
3 8 4 1
Direct
0.500 0.500 0.500
0.000 0.500 0.500
0.500 0.500 0.000
0.241 0.700 0.959
0.269 0.308 0.539
0.718 0.700 0.959
0.241 0.700 0.482
0.282 0.300 0.041
0.759 0.300 0.041
0.759 0.300 0.518
0.731 0.692 0.461
0.000 0.000 0.500
0.500 0.000 0.000
0.500 0.000 0.500
0.000 0.000 0.000
0.000 0.500 0.000